# PmY6Tm4

PmY6Tm4 after structural relaxation (PBE-GGA, the Alexandria database).

Cell: 5.2631 9.0582 9.0582 Å, 120.00 90.00 90.00°
Last column: magnetic moment on the atom in μB.
Fractional coordinates of all 11 atoms:
Y  0.5000  0.2054  0.4109  0.04
Y  0.0000  0.5350  0.4650  0.06
Y  0.0000  0.9299  0.4650  0.06
Y  0.0000  0.5350  0.0701  0.06
Y  0.5000  0.5891  0.7946  0.04
Y  0.5000  0.2054  0.7946  0.04
Pm  0.0000  0.0000  0.0000  0.11
Tm  0.5000  0.4109  0.2055  0.13
Tm  0.0000  0.3333  0.6667  -0.08
Tm  0.5000  0.7945  0.2055  0.13
Tm  0.5000  0.7945  0.5891  0.13

Values from the calculation:
* DOS at the Fermi energy: 18.03 states/eV/f.u.
* crystal system: hexagonal
* formation energy from the elements: 0.347 eV per atom
* calculated total energy: -57.61 eV/cell
* distance to the lowest polymorph of the same formula: 2.51 eV per formula unit

=====

# Pm2Y3Tm2

Pm2Y3Tm2 after structural relaxation (PBE-GGA, the Alexandria database).

Cell: 8.4496 8.4496 8.4496 Å, 109.47 109.47 109.47°
Fractional coordinates of all 14 atoms:
Y  0.6898  0.7500  0.9398
Y  0.7500  0.5602  0.3102
Y  0.4398  0.1898  0.7500
Y  0.0602  0.3102  0.2500
Y  0.8102  0.2500  0.5602
Y  0.2500  0.9398  0.1898
Tm  0.5000  0.4087  0.5000
Tm  0.0000  0.0000  0.4087
Tm  0.5913  0.0913  0.0913
Tm  0.9087  0.5000  0.0000
Pm  0.5000  0.8090  0.5000
Pm  0.0000  0.0000  0.8090
Pm  0.1910  0.6910  0.6910
Pm  0.3090  0.5000  0.0000

Values from the calculation:
* DOS at the Fermi energy: 9.35 states/eV/f.u.
* crystal system: cubic
* formation energy from the elements: 0.232 eV per atom
* calculated total energy: -72.42 eV/cell
* distance to the lowest polymorph of the same formula: 0.75 eV per formula unit

=====

# PmY3Tm8

PmY3Tm8 after structural relaxation (PBE-GGA, the Alexandria database).

Cell: 8.3692 8.3676 8.3752 Å, 96.36 99.60 136.28°
Fractional coordinates of all 12 atoms:
Y  0.1640  0.6643  0.4997
Y  0.5018  0.7520  0.2508
Y  0.5020  0.2510  0.7495
Tm  0.8359  0.1686  0.6675
Tm  0.8313  0.7480  0.5818
Tm  0.4994  0.6682  0.8315
Tm  0.8369  0.6687  0.1686
Tm  0.5003  0.1683  0.3320
Tm  0.1669  0.2498  0.4187
Tm  0.1668  0.7483  0.9173
Tm  0.8315  0.2494  0.0831
Pm  0.1632  0.1634  0.9996

Values from the calculation:
* DOS at the Fermi energy: 21.66 states/eV/f.u.
* crystal system: monoclinic
* formation energy from the elements: 0.004 eV per atom
* calculated total energy: -59.87 eV/cell

=====

# Pm4Y4Tm3

Pm4Y4Tm3 after structural relaxation (PBE-GGA, the Alexandria database).

Cell: 3.5351 5.6264 18.1891 Å, 81.11 84.41 90.00°
Fractional coordinates of all 11 atoms:
Y  0.4093  0.9089  0.1807
Y  0.5907  0.0912  0.8193
Y  0.7325  0.7327  0.5347
Y  0.2675  0.2673  0.4653
Pm  0.6799  0.1797  0.6411
Pm  0.5459  0.5467  0.9083
Pm  0.4541  0.4533  0.0917
Pm  0.3202  0.8203  0.3588
Tm  0.0000  0.0000  0.0000
Tm  0.1370  0.6370  0.7267
Tm  0.8630  0.3630  0.2733

Values from the calculation:
* DOS at the Fermi energy: 20.02 states/eV/f.u.
* crystal system: triclinic
* formation energy from the elements: 0.055 eV per atom
* calculated total energy: -57.67 eV/cell
* distance to the lowest polymorph of the same formula: 0.00 eV per formula unit

=====

# Pm6YTm2

Pm6YTm2 after structural relaxation (PBE-GGA, the Alexandria database).

Cell: 6.2769 10.8098 10.8098 Å, 84.93 65.56 65.56°
Fractional coordinates of all 18 atoms:
Pm  0.5956  0.3264  0.5634
Pm  0.7626  0.9370  0.8494
Pm  0.8144  0.9921  0.4227
Pm  0.6856  0.5773  0.0079
Pm  0.7374  0.1506  0.0630
Pm  0.9044  0.4366  0.6736
Pm  0.1856  0.0079  0.5773
Pm  0.3144  0.4227  0.9921
Pm  0.2626  0.8494  0.9370
Pm  0.4044  0.6736  0.4366
Pm  0.2374  0.0630  0.1506
Pm  0.0956  0.5634  0.3264
Tm  0.2044  0.6294  0.7633
Tm  0.7956  0.3706  0.2367
Tm  0.7044  0.7633  0.6294
Tm  0.2956  0.2367  0.3706
Y  0.7500  0.8198  0.1802
Y  0.2500  0.1802  0.8198

Values from the calculation:
* DOS at the Fermi energy: 12.62 states/eV/f.u.
* crystal system: monoclinic
* formation energy from the elements: 0.205 eV per atom
* calculated total energy: -84.14 eV/cell
* distance to the lowest polymorph of the same formula: 1.66 eV per formula unit

=====

# Pm5Y4Tm2

Pm5Y4Tm2 after structural relaxation (PBE-GGA, the Alexandria database).

Cell: 3.5319 9.1262 12.7660 Å, 110.94 97.95 90.00°
Fractional coordinates of all 11 atoms:
Y  0.5979  0.5979  0.1958
Y  0.4021  0.4021  0.8042
Y  0.0000  0.6890  0.0000
Y  0.0000  0.3110  0.0000
Pm  0.1475  0.9469  0.2950
Pm  0.5000  0.0000  0.0000
Pm  0.8525  0.6520  0.7050
Pm  0.1475  0.3480  0.2950
Pm  0.8525  0.0531  0.7050
Tm  0.2692  0.2692  0.5384
Tm  0.7308  0.7308  0.4616

Values from the calculation:
* DOS at the Fermi energy: 18.83 states/eV/f.u.
* crystal system: orthorhombic
* formation energy from the elements: 0.229 eV per atom
* calculated total energy: -56.03 eV/cell
* distance to the lowest polymorph of the same formula: 1.27 eV per formula unit

=====

# PmY3Tm6

PmY3Tm6 after structural relaxation (PBE-GGA, the Alexandria database).

Cell: 9.7686 9.7686 6.8315 Å, 44.36 44.36 60.00°
Fractional coordinates of all 10 atoms:
Tm  0.9072  0.5704  0.2878
Tm  0.7352  0.0711  0.7852
Tm  0.2346  0.9072  0.2878
Tm  0.0711  0.4085  0.7852
Tm  0.4085  0.7352  0.7852
Tm  0.5704  0.2346  0.2878
Y  0.3947  0.3947  0.8160
Y  0.6393  0.6393  0.0821
Y  0.1423  0.1423  0.5731
Pm  0.8968  0.8968  0.3097

Values from the calculation:
* DOS at the Fermi energy: 19.95 states/eV/f.u.
* crystal system: trigonal
* formation energy from the elements: 0.310 eV per atom
* calculated total energy: -47.88 eV/cell
* distance to the lowest polymorph of the same formula: 1.68 eV per formula unit

=====

# Pm2Y5Tm5

Pm2Y5Tm5 after structural relaxation (PBE-GGA, the Alexandria database).

Cell: 3.5461 9.3939 11.7854 Å, 93.40 81.35 79.12°
Fractional coordinates of all 12 atoms:
Y  0.5000  0.5000  0.5000
Y  0.4149  0.9193  0.2510
Y  0.5851  0.0807  0.7490
Y  0.6657  0.6697  0.9989
Y  0.3343  0.3303  0.0011
Tm  0.0000  0.0000  0.0000
Tm  0.8316  0.8355  0.5012
Tm  0.2495  0.7518  0.7491
Tm  0.7505  0.2482  0.2509
Tm  0.1684  0.1645  0.4988
Pm  0.9169  0.4170  0.7491
Pm  0.0831  0.5830  0.2509

Values from the calculation:
* DOS at the Fermi energy: 16.96 states/eV/f.u.
* crystal system: monoclinic
* formation energy from the elements: 0.025 eV per atom
* calculated total energy: -63.88 eV/cell
* distance to the lowest polymorph of the same formula: 0.00 eV per formula unit

=====

# Pm4YTm7

Pm4YTm7 after structural relaxation (PBE-GGA, the Alexandria database).

Cell: 5.8503 11.5689 6.7163 Å, 83.67 64.18 75.35°
Last column: magnetic moment on the atom in μB.
Fractional coordinates of all 12 atoms:
Tm  0.7872  0.9236  0.5020  0.02
Tm  0.0676  0.6867  0.1782  0.01
Tm  0.9324  0.3133  0.8218  0.01
Tm  0.6323  0.5049  0.2305  0.00
Tm  0.2128  0.0764  0.4980  0.02
Tm  0.5000  0.0000  0.0000  0.17
Tm  0.3677  0.4951  0.7695  0.00
Pm  0.7748  0.6675  0.7828  0.00
Pm  0.6392  0.2226  0.4991  0.00
Pm  0.2252  0.3325  0.2172  0.00
Pm  0.3608  0.7774  0.5009  0.00
Y  0.0000  0.0000  0.0000  0.13

Values from the calculation:
* DOS at the Fermi energy: 19.77 states/eV/f.u.
* crystal system: monoclinic
* formation energy from the elements: 0.277 eV per atom
* calculated total energy: -53.44 eV/cell
* distance to the lowest polymorph of the same formula: 2.28 eV per formula unit

=====

# PmY12Tm5

PmY12Tm5 after structural relaxation (PBE-GGA, the Alexandria database).

Cell: 15.0642 10.6579 5.0213 Å, 90.00 90.00 45.08°
Fractional coordinates of all 18 atoms:
Y  0.3334  0.6650  0.0000
Y  0.0015  0.6651  0.0000
Y  0.6666  0.3350  0.0000
Y  0.6649  0.0000  0.0000
Y  0.9985  0.3349  0.0000
Y  0.1665  0.0000  0.4999
Y  0.8310  0.6676  0.5000
Y  0.3351  0.0000  0.0000
Y  0.8335  0.0000  0.5001
Y  0.1690  0.3324  0.5000
Y  0.4986  0.3324  0.5000
Y  0.5014  0.6676  0.5000
Tm  0.3335  0.3330  0.0000
Tm  0.1678  0.6643  0.5000
Tm  0.8322  0.3357  0.5000
Tm  0.6665  0.6670  0.0000
Tm  0.5000  0.0000  0.5000
Pm  0.0000  0.0000  0.0000

Values from the calculation:
* DOS at the Fermi energy: 26.80 states/eV/f.u.
* crystal system: orthorhombic
* formation energy from the elements: 0.027 eV per atom
* calculated total energy: -104.19 eV/cell

=====

In g cm⁻³, the ρ values for the records above are, in order, 6.013 6.398 7.788 6.734 7.120 6.198 7.429 6.908 7.766 5.982.